[1]
Density functional theory data (meta-GGA SCAN) for a PBEsol-optimized structure of CuNi2Sb.

Values from the calculation:
As for the density of states at the Fermi level: 0.7746 states/eV/atom. As for the magnetic moment: 0.00 μB per formula unit. The formation energy from raw total energies is -28 meV/atom.

a = 3.778 Å, b = 3.778 Å, c = 3.604 Å
α = 90.00°, β = 90.00°, γ = 90.00°
Space group P4/mmm (No. 123)
Asymmetric unit:
1 Cu 0.000 0.000 0.000
2 Ni 0.000 0.500 0.500
3 Sb 0.500 0.500 0.000



[2]
Density functional theory data (meta-GGA SCAN) for a PBEsol-optimized structure of CuNiSb2.

Values from the calculation:
As for the density of states at the Fermi level: 0.4151 states/eV/atom. As for the magnetic moment: 0.00 μB per formula unit. The distance to the lowest polymorph of the same formula comes out at 0.489 eV/atom. The formation energy from raw total energies is 315 meV/atom.

a = 3.572 Å, b = 4.318 Å, c = 4.537 Å
α = 90.00°, β = 90.00°, γ = 90.00°
Space group Pmmm (No. 47)
Asymmetric unit:
1 Cu 0.000 0.000 0.000
2 Ni 0.000 0.500 0.500
3 Sb 0.500 0.000 0.500
4 Sb 0.500 0.500 0.000



[3]
Density functional theory data (meta-GGA SCAN) for a PBEsol-optimized structure of CuNiSb.

Values from the calculation:
As for the density of states at the Fermi level: 0.4146 states/eV/atom. As for the magnetic moment: 0.00 μB per formula unit. The formation energy from raw total energies is 318 meV/atom.

a = 3.1769 Å, b = 3.1769 Å, c = 5.4125 Å
α = 90.00°, β = 90.00°, γ = 120.00°
Space group P3m1 (No. 156)
Asymmetric unit:
1 Cu 0.0000 0.0000 0.0000
2 Ni 0.3333 0.6667 0.7010
3 Sb 0.6667 0.3333 0.3780



[4]
Density functional theory data (meta-GGA SCAN) for a PBEsol-optimized structure of CuNi2Sb.

Values from the calculation:
As for the density of states at the Fermi level: 0.5126 states/eV/atom. As for the magnetic moment: 0.00 μB per formula unit. The formation energy from raw total energies is -26 meV/atom.

a = 3.668 Å, b = 3.668 Å, c = 7.637 Å
α = 90.00°, β = 90.00°, γ = 90.00°
Space group I-4m2 (No. 119)
Asymmetric unit:
1 Cu 0.000 0.000 0.000
2 Ni 0.000 0.000 0.500
3 Ni 0.000 0.500 0.750
4 Sb 0.000 0.500 0.250



[5]
Density functional theory data (meta-GGA SCAN) for a PBEsol-optimized structure of CuNiSb2.

Values from the calculation:
As for the density of states at the Fermi level: 0.4300 states/eV/atom. As for the magnetic moment: 0.00 μB per formula unit. The distance to the lowest polymorph of the same formula comes out at 0.175 eV/atom. The formation energy from raw total energies is 2 meV/atom.

a = 3.9363 Å, b = 3.9363 Å, c = 17.3615 Å
α = 90.00°, β = 90.00°, γ = 120.00°
Space group R3m (No. 160, hexagonal axes)
Asymmetric unit:
1 Cu 0.0000 0.0000 0.0000
2 Ni 0.0000 0.0000 0.2976
3 Sb 0.0000 0.0000 0.5585
4 Sb 0.0000 0.0000 0.7376



[6]
Density functional theory data (meta-GGA SCAN) for a PBEsol-optimized structure of CuNi2Sb.

Values from the calculation:
As for the density of states at the Fermi level: 0.5521 states/eV/atom. As for the magnetic moment: 0.00 μB per formula unit. The formation energy from raw total energies is -66 meV/atom.

a = 3.962 Å, b = 3.962 Å, c = 6.529 Å
α = 90.00°, β = 90.00°, γ = 90.00°
Space group I4/mmm (No. 139)
Asymmetric unit:
1 Cu 0.000 0.000 0.000
2 Ni 0.000 0.500 0.250
3 Sb 0.000 0.000 0.500



- What is the formation energy from raw total energies in the fourth record?
  -26 meV/atom